The following is a DFT calculation (GGA-PBEsol) of a relaxed CsHg2Sb2 crystal.

Results
- crystal system = tetragonal
- spin magnetization (μB/f.u.) = 0.0
- formation energy (no corrections) (meV per atom) = -201

Lattice parameters (Å, degrees): 4.959 4.959 7.140 110.32 110.32 90.00
Fractional positions:
Cs (0.000, 0.000, 0.000)
Sb (0.250, 0.750, 0.500)
Sb (0.750, 0.250, 0.500)
Hg (0.389, 0.389, 0.777)
Hg (0.611, 0.611, 0.223)



The following is a DFT calculation (GGA-PBEsol) of a relaxed Cr2InAu crystal.

Results
- crystal system = tetragonal
- spin magnetization (μB/f.u.) = 0.9
- E_form (meV/atom) = 450

Lattice parameters (Å, degrees): 3.799 3.799 4.908 112.77 112.77 90.00
Fractional positions:
Au (0.500, 0.500, 0.000)
Cr (0.750, 0.250, 0.500)
Cr (0.250, 0.750, 0.500)
In (0.000, 0.000, 0.000)



The following is a DFT calculation (GGA-PBEsol) of a relaxed ScMn2BiO crystal.

Results
- crystal system = tetragonal
- spin magnetization (μB/f.u.) = 7.7
- formation energy (no corrections) (meV per atom) = 143

Lattice parameters (Å, degrees): 3.809 5.168 5.168 90.00 90.00 90.00
Fractional positions:
Sc (0.000, 0.000, 0.000)
Mn (0.000, 0.000, 0.500)
Mn (0.000, 0.500, 0.000)
Bi (0.500, 0.500, 0.500)
O (0.500, 0.000, 0.000)



The following is a DFT calculation (GGA-PBEsol) of a relaxed Ca2ReTc crystal.

Results
- excess energy over the best structure of this formula in the dataset (meV/atom) = 8
- crystal system = orthorhombic
- spin magnetization (μB/f.u.) = 0.0
- E_form (meV/atom) = 808

Lattice parameters (Å, degrees): 3.533 4.179 4.959 90.00 90.00 90.00
Fractional positions:
Re (0.500, 0.000, 0.500)
Ca (0.000, 0.000, 0.000)
Ca (0.500, 0.500, 0.000)
Tc (0.000, 0.500, 0.500)



The following is a DFT calculation (GGA-PBEsol) of a relaxed K2LiCd crystal.

Results
- crystal system = cubic
- spin magnetization (μB/f.u.) = 0.0
- E_form (meV/atom) = 104

Lattice parameters (Å, degrees): 5.874 5.874 5.874 60.00 60.00 60.00
Fractional positions:
Cd (0.500, 0.500, 0.500)
K (0.000, 0.000, 0.000)
K (0.750, 0.750, 0.750)
Li (0.250, 0.250, 0.250)



The following is a DFT calculation (GGA-PBEsol) of a relaxed KAg2SbS3 crystal.

Results
- crystal system = triclinic
- spin magnetization (μB/f.u.) = 0.0
- formation energy (no corrections) (meV per atom) = -444

Lattice parameters (Å, degrees): 6.671 9.284 10.753 90.52 92.82 90.80
Fractional positions:
K (0.303, 0.572, 0.633)
K (0.697, 0.428, 0.367)
K (0.196, 0.420, 0.131)
K (0.804, 0.580, 0.869)
Ag (0.512, 0.733, 0.140)
Ag (0.488, 0.267, 0.860)
Ag (0.098, 0.827, 0.049)
Ag (0.902, 0.173, 0.951)
Ag (0.016, 0.109, 0.337)
Ag (0.984, 0.891, 0.663)
Ag (0.407, 0.163, 0.540)
Ag (0.593, 0.837, 0.460)
Sb (0.533, 0.051, 0.147)
Sb (0.467, 0.949, 0.853)
Sb (0.043, 0.797, 0.348)
Sb (0.957, 0.203, 0.652)
S (0.640, 0.082, 0.367)
S (0.360, 0.918, 0.633)
S (0.357, 0.662, 0.337)
S (0.643, 0.338, 0.663)
S (0.642, 0.294, 0.078)
S (0.358, 0.706, 0.922)
S (0.164, 0.079, 0.134)
S (0.836, 0.921, 0.866)
S (0.883, 0.684, 0.526)
S (0.117, 0.316, 0.474)
S (0.873, 0.666, 0.171)
S (0.127, 0.334, 0.829)



The following is a DFT calculation (GGA-PBEsol) of a relaxed SrRe2As crystal.

Results
- crystal system = tetragonal
- spin magnetization (μB/f.u.) = 0.0
- E_form (meV/atom) = 779

Lattice parameters (Å, degrees): 3.100 3.100 7.826 90.00 90.00 90.00
Fractional positions:
Re (0.000, 0.000, 0.671)
Re (0.000, 0.000, 0.329)
As (0.500, 0.500, 0.500)
Sr (0.500, 0.500, 0.000)



The following is a DFT calculation (GGA-PBEsol) of a relaxed AlZn2Fe crystal.

Results
- crystal system = monoclinic
- spin magnetization (μB/f.u.) = 1.7
- E_form (meV/atom) = -9

Lattice parameters (Å, degrees): 2.599 4.542 5.109 115.38 103.09 93.59
Fractional positions:
Zn (0.500, 0.500, 0.500)
Zn (0.000, 0.000, 0.500)
Fe (0.500, 0.000, 0.000)
Al (0.000, 0.500, 0.000)